Pm2Mo2C3, relaxed, DFT PBE; Fermi-level density of states = 2.43 states/eV per cell; formation energy from the elements = -249 meV/atom; total DFT energy (no corrections) = -8.654 eV per atom
1.0
-3.0121 -0.5497 -1.5407
-2.3324 -1.6236 5.1391
1.0508 6.1908 -0.4503
Pm Mo C
2 2 3
Direct
0.6074 0.8175 0.2147
0.3926 0.1825 0.7853
0.8399 0.6776 0.6798
0.1601 0.3224 0.3202
0.0000 0.0000 0.0000
0.7497 0.2742 0.4994
0.2503 0.7258 0.5006

=====

TbNdIr, relaxed, DFT PBE; Fermi-level density of states = 5.02 states/eV per cell; formation energy from the elements = -595 meV/atom; total DFT energy (no corrections) = -6.681 eV per atom
1.0
-4.1581 -2.0334 -1.5072
-0.7983 -1.7365 4.5404
-3.3637 5.8439 1.5477
Nd Ir Tb
2 2 2
Direct
0.5056 0.9904 0.2500
0.4944 0.0096 0.7500
0.0000 0.0000 0.0000
0.5000 0.5000 0.5000
0.0051 0.4911 0.2500
0.9949 0.5089 0.7500